1.
VASP calculation (PBE) on an optimized crystal structure of Tb5NdDy5.

## Properties
E   -0.159 Ha/atom
Excess energy over the best structure of this formula in the dataset   0.000 eV per atom
Volume   371 Å³/cell
Total magnetization   0.00 μB per formula unit
Formation energy   316 meV/atom

CIF file:
```
data_Tb5NdDy5
_chemical_formula_sum 'Tb5 Nd1 Dy5'
_cell_length_a 6.084
_cell_length_b 6.084
_cell_length_c 11.570
_cell_angle_alpha 90.00
_cell_angle_beta 90.00
_cell_angle_gamma 120.00
_space_group_name_H-M_alt 'P 1'
_space_group_IT_number 1
loop_
_space_group_symop_operation_xyz
'x,y,z'
loop_
_atom_site_label
_atom_site_type_symbol
_atom_site_fract_x
_atom_site_fract_y
_atom_site_fract_z
_atom_site_occupancy
Tb1 Tb 0.000 0.000 0.000 1
Tb2 Tb 0.333 0.667 0.325 1
Tb3 Tb 0.333 0.667 0.675 1
Tb4 Tb 0.667 0.333 0.158 1
Tb5 Tb 0.667 0.333 0.842 1
Nd1 Nd 0.333 0.667 0.000 1
Dy1 Dy 0.000 0.000 0.265 1
Dy2 Dy 0.000 0.000 0.735 1
Dy3 Dy 0.335 0.168 0.500 1
Dy4 Dy 0.832 0.168 0.500 1
Dy5 Dy 0.832 0.665 0.500 1
```


2.
VASP calculation (PBE) on an optimized crystal structure of Tb3Nd4Dy8.

## Properties
E   -0.167 Ha/atom
Excess energy over the best structure of this formula in the dataset   0.000 eV per atom
Volume   500 Å³/cell
Total magnetization   0.00 μB per formula unit
Formation energy   121 meV/atom

CIF file:
```
data_Tb3Nd4Dy8
_chemical_formula_sum 'Tb3 Nd4 Dy8'
_cell_length_a 12.528
_cell_length_b 12.528
_cell_length_c 12.528
_cell_angle_alpha 32.33
_cell_angle_beta 32.33
_cell_angle_gamma 32.33
_space_group_name_H-M_alt 'P 1'
_space_group_IT_number 1
loop_
_space_group_symop_operation_xyz
'x,y,z'
loop_
_atom_site_label
_atom_site_type_symbol
_atom_site_fract_x
_atom_site_fract_y
_atom_site_fract_z
_atom_site_occupancy
Tb1 Tb 0.000 0.500 0.500 1
Tb2 Tb 0.500 0.000 0.500 1
Tb3 Tb 0.500 0.500 0.000 1
Nd1 Nd 0.000 0.000 0.000 1
Nd2 Nd 0.163 0.163 0.163 1
Nd3 Nd 0.500 0.500 0.500 1
Nd4 Nd 0.837 0.837 0.837 1
Dy1 Dy 0.250 0.250 0.747 1
Dy2 Dy 0.250 0.747 0.250 1
Dy3 Dy 0.253 0.750 0.750 1
Dy4 Dy 0.255 0.255 0.255 1
Dy5 Dy 0.745 0.745 0.745 1
Dy6 Dy 0.747 0.250 0.250 1
Dy7 Dy 0.750 0.253 0.750 1
Dy8 Dy 0.750 0.750 0.253 1
```


3.
VASP calculation (PBE) on an optimized crystal structure of Tb5Nd3Dy2.

## Properties
E   -0.162 Ha/atom
Excess energy over the best structure of this formula in the dataset   0.064 eV per atom
Volume   677 Å³/cell
Total magnetization   0.00 μB per formula unit
Formation energy   254 meV/atom

CIF file:
```
data_Tb5Nd3Dy2
_chemical_formula_sum 'Tb10 Nd6 Dy4'
_cell_length_a 11.072
_cell_length_b 11.072
_cell_length_c 11.072
_cell_angle_alpha 118.70
_cell_angle_beta 72.83
_cell_angle_gamma 144.60
_space_group_name_H-M_alt 'P 1'
_space_group_IT_number 1
loop_
_space_group_symop_operation_xyz
'x,y,z'
loop_
_atom_site_label
_atom_site_type_symbol
_atom_site_fract_x
_atom_site_fract_y
_atom_site_fract_z
_atom_site_occupancy
Tb1 Tb 0.069 0.750 0.319 1
Tb2 Tb 0.169 0.097 0.266 1
Tb3 Tb 0.250 0.250 0.000 1
Tb4 Tb 0.331 0.597 0.927 1
Tb5 Tb 0.431 0.750 0.681 1
Tb6 Tb 0.569 0.250 0.319 1
Tb7 Tb 0.669 0.403 0.073 1
Tb8 Tb 0.750 0.750 0.000 1
Tb9 Tb 0.831 0.903 0.734 1
Tb10 Tb 0.931 0.250 0.681 1
Nd1 Nd 0.172 0.789 0.961 1
Nd2 Nd 0.250 0.750 0.500 1
Nd3 Nd 0.328 0.289 0.618 1
Nd4 Nd 0.672 0.711 0.382 1
Nd5 Nd 0.750 0.250 0.500 1
Nd6 Nd 0.828 0.211 0.039 1
Dy1 Dy 0.028 0.264 0.291 1
Dy2 Dy 0.472 0.764 0.236 1
Dy3 Dy 0.528 0.236 0.764 1
Dy4 Dy 0.972 0.736 0.709 1
```


4.
VASP calculation (PBE) on an optimized crystal structure of Tb5Nd4Dy2.

## Properties
E   -0.168 Ha/atom
Volume   365 Å³/cell
Total magnetization   0.00 μB per formula unit
Formation energy   106 meV/atom

CIF file:
```
data_Tb5Nd4Dy2
_chemical_formula_sum 'Tb5 Nd4 Dy2'
_cell_length_a 10.043
_cell_length_b 10.043
_cell_length_c 6.667
_cell_angle_alpha 90.94
_cell_angle_beta 90.94
_cell_angle_gamma 32.92
_space_group_name_H-M_alt 'P 1'
_space_group_IT_number 1
loop_
_space_group_symop_operation_xyz
'x,y,z'
loop_
_atom_site_label
_atom_site_type_symbol
_atom_site_fract_x
_atom_site_fract_y
_atom_site_fract_z
_atom_site_occupancy
Tb1 Tb 0.000 0.000 0.000 1
Tb2 Tb 0.291 0.291 0.598 1
Tb3 Tb 0.370 0.370 0.106 1
Tb4 Tb 0.630 0.630 0.894 1
Tb5 Tb 0.709 0.709 0.402 1
Nd1 Nd 0.194 0.194 0.072 1
Nd2 Nd 0.481 0.481 0.712 1
Nd3 Nd 0.519 0.519 0.288 1
Nd4 Nd 0.806 0.806 0.928 1
Dy1 Dy 0.097 0.097 0.553 1
Dy2 Dy 0.903 0.903 0.447 1
```


5.
VASP calculation (PBE) on an optimized crystal structure of Tb12Nd2Dy5.

## Properties
E   -0.166 Ha/atom
Excess energy over the best structure of this formula in the dataset   0.045 eV per atom
Volume   626 Å³/cell
Total magnetization   0.00 μB per formula unit
Formation energy   132 meV/atom

CIF file:
```
data_Tb12Nd2Dy5
_chemical_formula_sum 'Tb12 Nd2 Dy5'
_cell_length_a 9.147
_cell_length_b 9.147
_cell_length_c 8.575
_cell_angle_alpha 91.00
_cell_angle_beta 91.00
_cell_angle_gamma 60.72
_space_group_name_H-M_alt 'P 1'
_space_group_IT_number 1
loop_
_space_group_symop_operation_xyz
'x,y,z'
loop_
_atom_site_label
_atom_site_type_symbol
_atom_site_fract_x
_atom_site_fract_y
_atom_site_fract_z
_atom_site_occupancy
Tb1 Tb 0.059 0.059 0.333 1
Tb2 Tb 0.065 0.682 0.343 1
Tb3 Tb 0.164 0.525 0.757 1
Tb4 Tb 0.318 0.935 0.657 1
Tb5 Tb 0.409 0.409 0.118 1
Tb6 Tb 0.475 0.836 0.243 1
Tb7 Tb 0.525 0.164 0.757 1
Tb8 Tb 0.591 0.591 0.882 1
Tb9 Tb 0.682 0.065 0.343 1
Tb10 Tb 0.836 0.475 0.243 1
Tb11 Tb 0.935 0.318 0.657 1
Tb12 Tb 0.941 0.941 0.667 1
Nd1 Nd 0.181 0.819 0.000 1
Nd2 Nd 0.819 0.181 0.000 1
Dy1 Dy 0.199 0.199 0.012 1
Dy2 Dy 0.269 0.269 0.426 1
Dy3 Dy 0.500 0.500 0.500 1
Dy4 Dy 0.731 0.731 0.574 1
Dy5 Dy 0.801 0.801 0.988 1
```


6.
VASP calculation (PBE) on an optimized crystal structure of Tb8Nd4Dy3.

## Properties
E   -0.167 Ha/atom
Excess energy over the best structure of this formula in the dataset   0.000 eV per atom
Volume   502 Å³/cell
Total magnetization   0.00 μB per formula unit
Formation energy   119 meV/atom

CIF file:
```
data_Tb8Nd4Dy3
_chemical_formula_sum 'Tb8 Nd4 Dy3'
_cell_length_a 12.550
_cell_length_b 12.550
_cell_length_c 12.550
_cell_angle_alpha 32.32
_cell_angle_beta 32.32
_cell_angle_gamma 32.32
_space_group_name_H-M_alt 'P 1'
_space_group_IT_number 1
loop_
_space_group_symop_operation_xyz
'x,y,z'
loop_
_atom_site_label
_atom_site_type_symbol
_atom_site_fract_x
_atom_site_fract_y
_atom_site_fract_z
_atom_site_occupancy
Tb1 Tb 0.245 0.245 0.245 1
Tb2 Tb 0.247 0.750 0.750 1
Tb3 Tb 0.250 0.250 0.753 1
Tb4 Tb 0.250 0.753 0.250 1
Tb5 Tb 0.750 0.247 0.750 1
Tb6 Tb 0.750 0.750 0.247 1
Tb7 Tb 0.753 0.250 0.250 1
Tb8 Tb 0.755 0.755 0.755 1
Nd1 Nd 0.000 0.000 0.000 1
Nd2 Nd 0.337 0.337 0.337 1
Nd3 Nd 0.500 0.500 0.500 1
Nd4 Nd 0.663 0.663 0.663 1
Dy1 Dy 0.000 0.000 0.500 1
Dy2 Dy 0.000 0.500 0.000 1
Dy3 Dy 0.500 0.000 0.000 1
```


7.
VASP calculation (PBE) on an optimized crystal structure of TbNd2Dy.

## Properties
E   -0.172 Ha/atom
Excess energy over the best structure of this formula in the dataset   0.004 eV per atom
Volume   402 Å³/cell
Total magnetization   0.00 μB per formula unit
Formation energy   16 meV/atom

CIF file:
```
data_TbNd2Dy
_chemical_formula_sum 'Tb3 Nd6 Dy3'
_cell_length_a 3.634
_cell_length_b 3.634
_cell_length_c 35.154
_cell_angle_alpha 90.00
_cell_angle_beta 90.00
_cell_angle_gamma 120.00
_space_group_name_H-M_alt 'P 1'
_space_group_IT_number 1
loop_
_space_group_symop_operation_xyz
'x,y,z'
loop_
_atom_site_label
_atom_site_type_symbol
_atom_site_fract_x
_atom_site_fract_y
_atom_site_fract_z
_atom_site_occupancy
Tb1 Tb 0.000 0.000 0.000 1
Tb2 Tb 0.333 0.667 0.667 1
Tb3 Tb 0.667 0.333 0.333 1
Nd1 Nd 0.000 0.000 0.416 1
Nd2 Nd 0.000 0.000 0.582 1
Nd3 Nd 0.333 0.667 0.083 1
Nd4 Nd 0.333 0.667 0.249 1
Nd5 Nd 0.667 0.333 0.750 1
Nd6 Nd 0.667 0.333 0.916 1
Dy1 Dy 0.000 0.000 0.833 1
Dy2 Dy 0.333 0.667 0.499 1
Dy3 Dy 0.667 0.333 0.166 1
```


8.
VASP calculation (PBE) on an optimized crystal structure of TbNd10Dy4.

## Properties
E   -0.148 Ha/atom
Volume   599 Å³/cell
Total magnetization   0.00 μB per formula unit
Formation energy   692 meV/atom

CIF file:
```
data_TbNd10Dy4
_chemical_formula_sum 'Tb1 Nd10 Dy4'
_cell_length_a 9.586
_cell_length_b 9.586
_cell_length_c 9.586
_cell_angle_alpha 99.57
_cell_angle_beta 99.57
_cell_angle_gamma 131.87
_space_group_name_H-M_alt 'P 1'
_space_group_IT_number 1
loop_
_space_group_symop_operation_xyz
'x,y,z'
loop_
_atom_site_label
_atom_site_type_symbol
_atom_site_fract_x
_atom_site_fract_y
_atom_site_fract_z
_atom_site_occupancy
Tb1 Tb 0.000 0.000 0.000 1
Nd1 Nd 0.049 0.150 0.700 1
Nd2 Nd 0.150 0.451 0.101 1
Nd3 Nd 0.250 0.750 0.500 1
Nd4 Nd 0.350 0.049 0.899 1
Nd5 Nd 0.451 0.350 0.300 1
Nd6 Nd 0.549 0.650 0.700 1
Nd7 Nd 0.650 0.951 0.101 1
Nd8 Nd 0.750 0.250 0.500 1
Nd9 Nd 0.850 0.549 0.899 1
Nd10 Nd 0.951 0.850 0.300 1
Dy1 Dy 0.200 0.600 0.801 1
Dy2 Dy 0.400 0.200 0.600 1
Dy3 Dy 0.600 0.800 0.400 1
Dy4 Dy 0.800 0.400 0.199 1
```